Record 1
# Ca2NiSn3 PBE relaxed
# Size of the total moment   0.00 μB per atom
# ΔE to the lowest computed polymorph   0.0642 eV per atom
# Symmetry   No. 25
# Energy of formation from the pure elements   -237 kJ/mol of formula units
# Mass density   5.1 g/cm3
data_Ca2NiSn3
_chemical_formula_sum 'Ca2 Ni1 Sn3'
_space_group_name_H-M_alt 'P 1'
_space_group_IT_number 1
_cell_length_a 4.395
_cell_length_b 4.576
_cell_length_c 8.020
_cell_angle_alpha 90.00
_cell_angle_beta 90.00
_cell_angle_gamma 90.00
loop_
_space_group_symop_operation_xyz
'x,y,z'
loop_
_atom_site_label
_atom_site_fract_x
_atom_site_fract_y
_atom_site_fract_z
Ca1 0.000 0.000 0.000
Ca2 0.000 0.500 0.456
Ni1 0.500 0.000 0.283
Sn1 0.500 0.000 0.593
Sn2 0.500 0.500 0.162
Sn3 0.500 0.500 0.807

Record 2
# Ca2Ni7Sn12 PBE relaxed
# Size of the total moment   0.00 μB per atom
# Symmetry   No. 147
# Energy of formation from the pure elements   -465 kJ/mol of formula units
# Mass density   7.4 g/cm3
data_Ca2Ni7Sn12
_chemical_formula_sum 'Ca2 Ni7 Sn12'
_space_group_name_H-M_alt 'P 1'
_space_group_IT_number 1
_cell_length_a 10.851
_cell_length_b 10.851
_cell_length_c 4.225
_cell_angle_alpha 90.00
_cell_angle_beta 90.00
_cell_angle_gamma 120.00
loop_
_space_group_symop_operation_xyz
'x,y,z'
loop_
_atom_site_label
_atom_site_fract_x
_atom_site_fract_y
_atom_site_fract_z
Ca1 0.333 0.667 0.246
Ca2 0.667 0.333 0.754
Ni1 0.000 0.000 0.000
Ni2 0.105 0.402 0.735
Ni3 0.297 0.895 0.735
Ni4 0.402 0.297 0.265
Ni5 0.598 0.703 0.735
Ni6 0.703 0.105 0.265
Ni7 0.895 0.598 0.265
Sn1 0.075 0.624 0.754
Sn2 0.119 0.858 0.246
Sn3 0.142 0.261 0.246
Sn4 0.261 0.119 0.754
Sn5 0.376 0.451 0.754
Sn6 0.451 0.075 0.246
Sn7 0.549 0.925 0.754
Sn8 0.624 0.549 0.246
Sn9 0.739 0.881 0.246
Sn10 0.858 0.739 0.754
Sn11 0.881 0.142 0.754
Sn12 0.925 0.376 0.246

Record 3
# CaNiSn PBE relaxed
# Size of the total moment   0.00 μB per atom
# Symmetry   No. 187
# Energy of formation from the pure elements   -118 kJ/mol of formula units
# Mass density   5.3 g/cm3
data_CaNiSn
_chemical_formula_sum 'Ca1 Ni1 Sn1'
_space_group_name_H-M_alt 'P 1'
_space_group_IT_number 1
_cell_length_a 4.462
_cell_length_b 4.462
_cell_length_c 3.917
_cell_angle_alpha 90.00
_cell_angle_beta 90.00
_cell_angle_gamma 120.00
loop_
_space_group_symop_operation_xyz
'x,y,z'
loop_
_atom_site_label
_atom_site_fract_x
_atom_site_fract_y
_atom_site_fract_z
Ca1 0.000 0.000 0.000
Ni1 0.333 0.667 0.500
Sn1 0.667 0.333 0.500

Record 4
# CaNi5Sn PBE relaxed
# Size of the total moment   0.00 μB per atom
# Symmetry   No. 62
# Energy of formation from the pure elements   -147 kJ/mol of formula units
# Mass density   7.4 g/cm3
data_CaNi5Sn
_chemical_formula_sum 'Ca4 Ni20 Sn4'
_space_group_name_H-M_alt 'P 1'
_space_group_IT_number 1
_cell_length_a 8.093
_cell_length_b 4.865
_cell_length_c 10.282
_cell_angle_alpha 90.00
_cell_angle_beta 90.00
_cell_angle_gamma 90.00
loop_
_space_group_symop_operation_xyz
'x,y,z'
loop_
_atom_site_label
_atom_site_fract_x
_atom_site_fract_y
_atom_site_fract_z
Ca1 0.248 0.250 0.061
Ca2 0.252 0.750 0.561
Ca3 0.748 0.250 0.439
Ca4 0.752 0.750 0.939
Ni1 0.047 0.750 0.103
Ni2 0.064 0.001 0.310
Ni3 0.064 0.499 0.310
Ni4 0.083 0.250 0.516
Ni5 0.189 0.250 0.743
Ni6 0.311 0.750 0.243
Ni7 0.417 0.750 0.016
Ni8 0.436 0.501 0.810
Ni9 0.436 0.999 0.810
Ni10 0.453 0.250 0.603
Ni11 0.547 0.750 0.397
Ni12 0.564 0.001 0.190
Ni13 0.564 0.499 0.190
Ni14 0.583 0.250 0.984
Ni15 0.689 0.250 0.757
Ni16 0.811 0.750 0.257
Ni17 0.917 0.750 0.484
Ni18 0.936 0.501 0.690
Ni19 0.936 0.999 0.690
Ni20 0.953 0.250 0.897
Sn1 0.141 0.750 0.862
Sn2 0.359 0.250 0.362
Sn3 0.641 0.750 0.638
Sn4 0.859 0.250 0.138

Record 5
# CaNiSn PBE relaxed
# Size of the total moment   0.00 μB per atom
# Symmetry   No. 9
# Energy of formation from the pure elements   -68 kJ/mol of formula units
# Mass density   5.0 g/cm3
data_CaNiSn
_chemical_formula_sum 'Ca4 Ni4 Sn4'
_space_group_name_H-M_alt 'P 1'
_space_group_IT_number 1
_cell_length_a 6.744
_cell_length_b 6.744
_cell_length_c 7.211
_cell_angle_alpha 109.95
_cell_angle_beta 109.95
_cell_angle_gamma 85.29
loop_
_space_group_symop_operation_xyz
'x,y,z'
loop_
_atom_site_label
_atom_site_fract_x
_atom_site_fract_y
_atom_site_fract_z
Ca1 0.086 0.914 0.500
Ca2 0.567 0.767 0.433
Ca3 0.767 0.567 0.933
Ca4 0.914 0.086 0.000
Ni1 0.197 0.505 0.168
Ni2 0.505 0.197 0.668
Ni3 0.604 0.947 0.136
Ni4 0.947 0.604 0.636
Sn1 0.220 0.397 0.476
Sn2 0.275 0.707 0.949
Sn3 0.397 0.220 0.976
Sn4 0.707 0.275 0.449

Record 6
# Ca2NiSn3 PBE relaxed
# Size of the total moment   0.00 μB per atom
# ΔE to the lowest computed polymorph   0.0000 eV per atom
# Symmetry   No. 8
# Energy of formation from the pure elements   -274 kJ/mol of formula units
# Mass density   5.5 g/cm3
data_Ca2NiSn3
_chemical_formula_sum 'Ca2 Ni1 Sn3'
_space_group_name_H-M_alt 'P 1'
_space_group_IT_number 1
_cell_length_a 6.016
_cell_length_b 6.016
_cell_length_c 7.668
_cell_angle_alpha 127.61
_cell_angle_beta 127.61
_cell_angle_gamma 46.17
loop_
_space_group_symop_operation_xyz
'x,y,z'
loop_
_atom_site_label
_atom_site_fract_x
_atom_site_fract_y
_atom_site_fract_z
Ca1 0.000 0.000 0.000
Ca2 0.116 0.116 0.591
Ni1 0.749 0.749 0.060
Sn1 0.374 0.374 0.177
Sn2 0.457 0.457 0.675
Sn3 0.736 0.736 0.389

Record 7
# Ca2Ni3Sn2 PBE relaxed
# Size of the total moment   0.00 μB per atom
# Symmetry   No. 12
# Energy of formation from the pure elements   -225 kJ/mol of formula units
# Mass density   5.9 g/cm3
data_Ca2Ni3Sn2
_chemical_formula_sum 'Ca2 Ni3 Sn2'
_space_group_name_H-M_alt 'P 1'
_space_group_IT_number 1
_cell_length_a 5.964
_cell_length_b 5.964
_cell_length_c 6.733
_cell_angle_alpha 116.24
_cell_angle_beta 116.24
_cell_angle_gamma 40.99
loop_
_space_group_symop_operation_xyz
'x,y,z'
loop_
_atom_site_label
_atom_site_fract_x
_atom_site_fract_y
_atom_site_fract_z
Ca1 0.139 0.139 0.267
Ca2 0.861 0.861 0.733
Ni1 0.417 0.417 0.077
Ni2 0.500 0.500 0.500
Ni3 0.583 0.583 0.923
Sn1 0.151 0.151 0.765
Sn2 0.849 0.849 0.235

Record 8
# Ca3Ni5Sn6 PBE relaxed
# Size of the total moment   0.00 μB per atom
# Symmetry   No. 59
# Energy of formation from the pure elements   -508 kJ/mol of formula units
# Mass density   6.7 g/cm3
data_Ca3Ni5Sn6
_chemical_formula_sum 'Ca6 Ni10 Sn12'
_space_group_name_H-M_alt 'P 1'
_space_group_IT_number 1
_cell_length_a 4.317
_cell_length_b 13.305
_cell_length_c 9.728
_cell_angle_alpha 90.00
_cell_angle_beta 90.00
_cell_angle_gamma 90.00
loop_
_space_group_symop_operation_xyz
'x,y,z'
loop_
_atom_site_label
_atom_site_fract_x
_atom_site_fract_y
_atom_site_fract_z
Ca1 0.250 0.047 0.250
Ca2 0.250 0.453 0.250
Ca3 0.250 0.750 0.236
Ca4 0.750 0.250 0.764
Ca5 0.750 0.547 0.750
Ca6 0.750 0.953 0.750
Ni1 0.250 0.093 0.634
Ni2 0.250 0.407 0.634
Ni3 0.250 0.640 0.956
Ni4 0.250 0.750 0.710
Ni5 0.250 0.860 0.956
Ni6 0.750 0.140 0.044
Ni7 0.750 0.250 0.290
Ni8 0.750 0.360 0.044
Ni9 0.750 0.593 0.366
Ni10 0.750 0.907 0.366
Sn1 0.250 0.074 0.906
Sn2 0.250 0.250 0.105
Sn3 0.250 0.250 0.467
Sn4 0.250 0.426 0.906
Sn5 0.250 0.591 0.518
Sn6 0.250 0.909 0.518
Sn7 0.750 0.091 0.482
Sn8 0.750 0.409 0.482
Sn9 0.750 0.574 0.094
Sn10 0.750 0.750 0.533
Sn11 0.750 0.750 0.895
Sn12 0.750 0.926 0.094